No. 1
Ni3PdSe8: relaxed, PBE.

Properties
**ΔE_f (raw)**: -0.251 eV per atom
**Magnetization**: 0.000 μB/f.u.

Unit cell a=12.5861 b=7.3765 c=6.0226 alpha=90.00 beta=115.07 gamma=90.00
Last column: nearest neighbours and their distance in Å.
Space group C2/m (No. 12)
Inequivalent atoms, fractional coordinates:
Ni1 0.0000 0.0000 0.0000 (multiplicity 2)  6 Se 2.41-2.42
Ni2 0.2500 0.2500 0.0000 (multiplicity 4)  6 Se 2.39-2.44
Pd1 0.0000 0.5000 0.0000 (multiplicity 2)  6 Se 2.52-2.53
Se1 0.0412 0.2391 0.7746 (multiplicity 8)  2 Ni 2.39-2.41, 1 Pd 2.53
Se2 0.2115 0.0000 0.2203 (multiplicity 4)  3 Ni 2.42-2.44
Se3 0.2207 0.5000 0.2286 (multiplicity 4)  2 Ni 2.42, 1 Pd 2.52

---

No. 2
LuBi2Pb: relaxed, PBE.

Properties
**Magnetization**: 0.000 μB/f.u.
**Energy relative to the elements**: -227 meV per atom

Unit cell a=4.4561 b=4.4561 c=23.2979 alpha=90.00 beta=90.00 gamma=120.00
Last column: nearest neighbours and their distance in Å.
Space group R-3m (No. 166, hexagonal axes)
Inequivalent atoms, fractional coordinates:
Lu1 0.0000 0.0000 0.0000 (multiplicity 3)  6 Bi 3.13
Bi1 0.0000 0.0000 0.2571 (multiplicity 6)  3 Lu 3.13, 3 Pb 3.32
Pb1 0.0000 0.0000 0.5000 (multiplicity 3)  6 Bi 3.32

---

No. 3
PaTl3Rh2S6: relaxed, PBE.

Properties
**ΔE_f (raw)**: -0.746 eV per atom
**Magnetization**: 0.000 μB/f.u.

Unit cell a=6.1088 b=10.5989 c=8.6760 alpha=90.00 beta=104.00 gamma=90.00
Last column: nearest neighbours and their distance in Å.
Space group C2/m (No. 12)
Inequivalent atoms, fractional coordinates:
Pa1 0.0000 0.0000 0.0000 (multiplicity 2)  6 S 2.67-2.68
Tl1 0.0000 0.1700 0.5000 (multiplicity 4)  6 S 3.29-3.53, 6 Tl 3.49-3.60
Tl2 0.0000 0.5000 0.5000 (multiplicity 2)  6 S 3.33-3.50, 6 Tl 3.50-3.55
Rh1 0.0000 0.3336 0.0000 (multiplicity 4)  6 S 2.41-2.42
S1 0.1905 0.5000 0.1713 (multiplicity 4)  2 Rh 2.42, 1 Pa 2.67
S2 0.2428 0.1846 0.1709 (multiplicity 8)  2 Rh 2.41, 1 Pa 2.68

---

No. 4
Fe4Ir: relaxed, PBE.

Properties
**Magnetization**: 13.282 μB/f.u.
**Energy relative to the elements**: 1490 meV per atom

Unit cell a=4.6069 b=4.6069 c=4.6069 alpha=90.00 beta=90.00 gamma=90.00
Last column: nearest neighbours and their distance in Å.
Space group Pm-3m (No. 221)
Inequivalent atoms, fractional coordinates:
Fe1 0.0000 0.0000 0.0000 (multiplicity 1)  12 Fe 3.26
Fe2 0.0000 0.5000 0.5000 (multiplicity 3)  2 Ir 2.30
Ir1 0.5000 0.5000 0.5000 (multiplicity 1)  6 Fe 2.30